[1]
An optimized crystal structure of Ba2WS6. Source: Alexandria, functional PBE-GGA.

As for the total DFT energy (no corrections): -5.3917 eV per atom. Its crystal system is tetragonal. The space-group type is P4_2/mnm, No. 136. The value obtained for the theoretical density is 3.68 g/cm3.

```
Ba2WS6
1.0
6.697 0.000 0.000
0.000 6.697 0.000
0.000 0.000 13.096
Ba W S
4 2 12
Cartesian
0.000 0.000 2.277
0.000 0.000 10.819
3.349 3.349 4.271
3.349 3.349 8.825
0.000 0.000 6.548
3.349 3.349 0.000
1.190 1.190 4.869
1.190 1.190 8.227
1.675 1.675 0.000
1.674 5.024 6.548
2.159 4.538 1.679
2.159 4.538 11.418
4.538 2.159 1.679
4.538 2.159 11.418
5.024 1.674 6.548
5.022 5.022 0.000
5.508 5.508 4.869
5.508 5.508 8.227
```

[2]
An optimized crystal structure of Ba2WS. Source: Alexandria, functional PBE-GGA.

As for the total DFT energy (no corrections): -4.7189 eV per atom. Its crystal system is tetragonal. The space-group type is I-42d, No. 122. The value obtained for the theoretical density is 5.19 g/cm3.

```
Ba2WS
1.0
-4.254 4.254 4.335
4.254 -4.254 4.335
4.254 4.254 -4.335
Ba W S
4 2 2
Cartesian
6.381 1.851 -1.084
1.851 2.127 1.084
-2.127 2.403 3.251
2.403 2.127 5.418
4.254 0.000 2.167
0.000 0.000 4.335
0.000 0.000 0.000
0.000 4.254 2.167
```

[3]
An optimized crystal structure of BaWS3. Source: Alexandria, functional PBE-GGA.

As for the total DFT energy (no corrections): -6.4543 eV per atom. Its crystal system is cubic. The value obtained for the polymorph energy (0 for the lowest one) is 68 kJ/mol of formula units. The space-group type is Pm-3m, No. 221. The value obtained for the theoretical density is 6.26 g/cm3.

```
BaWS3
1.0
4.802 0.000 0.000
0.000 4.802 0.000
0.000 0.000 4.802
Ba W S
1 1 3
Cartesian
0.000 0.000 0.000
2.401 2.401 2.401
0.000 2.401 2.401
2.401 0.000 2.401
2.401 2.401 0.000
```

[4]
An optimized crystal structure of BaW4S8. Source: Alexandria, functional PBE-GGA.

As for the total DFT energy (no corrections): -7.3642 eV per atom. Its crystal system is monoclinic. The space-group type is C2/m, No. 12. The value obtained for the theoretical density is 7.68 g/cm3.

```
BaW4S8
1.0
8.324 -1.674 0.000
8.324 1.674 0.000
-7.557 0.000 8.756
Ba W S
1 4 8
Cartesian
0.000 0.000 0.000
-0.814 0.000 4.199
4.223 0.000 1.186
4.868 0.000 7.570
9.905 0.000 4.557
-4.939 0.000 6.545
-1.799 0.000 8.116
0.647 0.000 6.057
3.038 0.000 3.538
6.053 0.000 5.218
8.444 0.000 2.699
10.890 0.000 0.640
14.030 0.000 2.211
```

[5]
An optimized crystal structure of BaW2S6. Source: Alexandria, functional PBE-GGA.

As for the total DFT energy (no corrections): -6.5122 eV per atom. Its crystal system is monoclinic. The space-group type is C2/m, No. 12. The value obtained for the theoretical density is 4.93 g/cm3.

```
BaW2S6
1.0
5.850 -2.354 0.000
5.850 2.354 0.000
-3.528 0.000 8.533
Ba W S
1 2 6
Cartesian
0.000 0.000 0.000
-0.065 0.000 5.222
8.237 0.000 3.311
-1.172 0.000 2.948
1.955 0.000 3.824
0.503 0.000 7.406
7.669 0.000 1.127
6.217 0.000 4.710
9.343 0.000 5.585
```

[6]
An optimized crystal structure of BaWS3. Source: Alexandria, functional PBE-GGA.

As for the total DFT energy (no corrections): -6.5955 eV per atom. Its crystal system is monoclinic. The value obtained for the polymorph energy (0 for the lowest one) is 0 kJ/mol of formula units. The space-group type is P2_1/c, No. 14. The value obtained for the theoretical density is 5.24 g/cm3.

```
BaWS3
1.0
6.871 0.000 0.000
0.000 5.990 0.000
-6.597 0.000 12.857
Ba W S
4 4 12
Cartesian
0.153 1.267 2.584
-3.145 1.728 9.012
3.420 4.262 3.845
0.121 4.723 10.274
0.068 4.256 5.962
-3.230 4.730 12.391
3.504 1.261 0.467
0.206 1.734 6.895
-5.004 0.411 12.462
-1.706 2.584 6.034
-0.121 4.241 3.623
-3.419 4.745 10.052
2.085 3.349 0.885
-1.214 5.637 7.313
1.488 0.354 5.544
-1.810 2.641 11.973
3.694 1.246 2.806
0.395 1.749 9.234
1.980 3.406 6.824
5.279 5.579 0.395
```

[7]
An optimized crystal structure of Ba3WS. Source: Alexandria, functional PBE-GGA.

As for the total DFT energy (no corrections): -4.2633 eV per atom. Its crystal system is cubic. The value obtained for the polymorph energy (0 for the lowest one) is 0 kJ/mol of formula units. The space-group type is Pm-3m, No. 221. The value obtained for the theoretical density is 4.70 g/cm3.

```
Ba3WS
1.0
6.052 0.000 0.000
0.000 6.052 0.000
0.000 0.000 6.052
Ba W S
3 1 1
Cartesian
0.000 0.000 3.026
0.000 3.026 0.000
3.026 0.000 0.000
3.026 3.026 3.026
0.000 0.000 0.000
```

[8]
An optimized crystal structure of BaWS3. Source: Alexandria, functional PBE-GGA.

As for the total DFT energy (no corrections): -3.4620 eV per atom. Its crystal system is cubic. The value obtained for the polymorph energy (0 for the lowest one) is 1512 kJ/mol of formula units. The space-group type is Pm-3m, No. 221. The value obtained for the theoretical density is 4.25 g/cm3.

```
BaWS3
1.0
5.464 0.000 0.000
0.000 5.464 0.000
0.000 0.000 5.464
Ba W S
1 1 3
Cartesian
0.000 0.000 0.000
2.732 2.732 2.732
0.000 0.000 2.732
0.000 2.732 0.000
2.732 0.000 0.000
```